(1)
A plane-wave DFT calculation with GGA-PBE was carried out for CdPbSe after structural relaxation.

Structure (POSCAR):
```
CdPbSe
1.0
7.2889 0.0000 0.0000
0.0000 4.2107 0.0000
-0.0016 0.0000 12.6415
Cd Pb Se
4 4 4
direct
0.0000 0.0000 0.0000
0.1684 0.5000 0.2943
0.5000 0.5000 0.0000
0.6684 0.0000 0.2943
0.0019 0.0000 0.4460
0.3353 0.0000 0.6617
0.5019 0.5000 0.4460
0.8353 0.5000 0.6617
0.0018 0.0000 0.7887
0.1667 0.5000 0.0825
0.5018 0.5000 0.7887
0.6667 0.0000 0.0825
```

Results
Fermi-level density of states: 2.76 states/eV per cell
Energy relative to the elements, uncorrected: -0.747 eV per formula unit
E_tot: -2.952 eV per atom
Total magnetic moment: 0.0 μB per formula unit
Energy relative to the lowest polymorph listed for this composition: 0.000 eV per atom

***

(2)
A plane-wave DFT calculation with GGA-PBE was carried out for SrY2HfAl after structural relaxation.

Structure (POSCAR):
```
SrY2HfAl
1.0
5.4691 0.0000 0.0000
0.0000 5.4691 0.0000
0.0000 0.0000 5.2698
Sr Y Hf Al
1 2 1 1
direct
0.0000 0.0000 0.0000
0.0000 0.5000 0.0000
0.5000 0.0000 0.0000
0.0000 0.0000 0.5000
0.5000 0.5000 0.5000
```

Results
Fermi-level density of states: 9.13 states/eV per cell
DFT formation energy: 1542 meV per atom
E_tot: -4.120 eV per atom
Total magnetic moment: 0.0 μB per formula unit

***

(3)
A plane-wave DFT calculation with GGA-PBE was carried out for Sc3SbH3 after structural relaxation.

Structure (POSCAR):
```
Sc3SbH3
1.0
3.0785 1.7774 6.5522
-3.0785 1.7774 6.5522
0.0000 -3.5548 6.5522
Sc Sb H
6 2 6
direct
0.1023 0.4360 0.7706
0.2294 0.8977 0.5640
0.4360 0.7706 0.1023
0.5640 0.2294 0.8977
0.7706 0.1023 0.4360
0.8977 0.5640 0.2294
0.3334 0.3334 0.3334
0.6666 0.6666 0.6666
0.1290 0.7915 0.4603
0.2085 0.5397 0.8710
0.4603 0.1290 0.7915
0.5397 0.8710 0.2085
0.7915 0.4603 0.1290
0.8710 0.2085 0.5397
```

Results
Fermi-level density of states: 7.13 states/eV per cell
E_tot: -5.343 eV per atom
Total magnetic moment: 0.0 μB per formula unit
Energy relative to the lowest polymorph listed for this composition: 0.043 eV per atom

***

(4)
A plane-wave DFT calculation with GGA-PBE was carried out for RbBiSeCl2 after structural relaxation.

Structure (POSCAR):
```
RbBiSeCl2
1.0
5.5885 0.0000 0.0000
0.0000 5.5885 0.0000
0.0000 0.0000 5.5963
Rb Bi Se Cl
1 1 1 2
direct
0.0000 0.0000 0.0000
0.5000 0.5000 0.5000
0.5000 0.5000 0.0000
0.0000 0.5000 0.5000
0.5000 0.0000 0.5000
```

Results
Fermi-level density of states: 1.02 states/eV per cell
Energy relative to the elements, uncorrected: -5.064 eV per formula unit
E_tot: -3.418 eV per atom
Total magnetic moment: 0.0 μB per formula unit

***

(5)
A plane-wave DFT calculation with GGA-PBE was carried out for Tl3InF6 after structural relaxation.

Structure (POSCAR):
```
Tl3InF6
1.0
5.8447 -6.4077 0.0000
5.8447 6.4077 0.0000
0.0000 0.0000 5.6564
Tl In F
6 2 12
direct
0.1022 0.8978 0.5000
0.1989 0.3935 0.5707
0.3935 0.1989 0.0707
0.6065 0.8011 0.5707
0.8011 0.6065 0.0707
0.8978 0.1022 0.0000
0.2713 0.7287 0.1506
0.7287 0.2713 0.6506
0.0825 0.1610 0.2932
0.0884 0.5588 0.1919
0.1610 0.0825 0.7932
0.2781 0.7219 0.7902
0.4213 0.5787 0.2783
0.4412 0.9116 0.1919
0.5588 0.0884 0.6919
0.5787 0.4213 0.7783
0.7219 0.2781 0.2902
0.8390 0.9175 0.2932
0.9116 0.4412 0.6919
0.9175 0.8390 0.7932
```

Results
Fermi-level density of states: 0.00 states/eV per cell
Energy relative to the elements, uncorrected: -19.686 eV per formula unit
E_tot: -4.075 eV per atom
Total magnetic moment: 0.0 μB per formula unit

***

(6)
A plane-wave DFT calculation with GGA-PBE was carried out for LaFe4W after structural relaxation.

Structure (POSCAR):
```
LaFe4W
1.0
0.0000 3.5459 3.5459
3.5459 0.0000 3.5459
3.5459 3.5459 0.0000
La Fe W
1 4 1
direct
0.0000 0.0000 0.0000
0.3762 0.3762 0.3762
0.3762 0.3762 0.8713
0.3762 0.8713 0.3762
0.8713 0.3762 0.3762
0.7500 0.7500 0.7500
```

Results
Fermi-level density of states: 7.39 states/eV per cell
DFT formation energy: 381 meV per atom
E_tot: -8.241 eV per atom
Total magnetic moment: 6.0 μB per formula unit

***

(7)
A plane-wave DFT calculation with GGA-PBE was carried out for Y2TcAg after structural relaxation.

Structure (POSCAR):
```
Y2TcAg
1.0
10.6581 0.0000 0.0000
0.0000 3.4789 0.0000
-1.3667 0.0000 4.8561
Y Tc Ag
4 2 2
direct
0.0000 0.0000 0.0000
0.2113 0.0000 0.6331
0.5000 0.5000 0.0000
0.7113 0.5000 0.6331
0.4749 0.0000 0.4977
0.9749 0.5000 0.4977
0.2585 0.5000 0.1802
0.7585 0.0000 0.1802
```

Results
Fermi-level density of states: 7.10 states/eV per cell
DFT formation energy: 60 meV per atom
E_tot: -6.476 eV per atom
Total magnetic moment: 0.0 μB per formula unit

***

(8)
A plane-wave DFT calculation with GGA-PBE was carried out for Ba4H9I after structural relaxation.

Structure (POSCAR):
```
Ba4H9I
1.0
-4.2119 4.2119 7.2233
4.2119 -4.2119 7.2233
4.2119 4.2119 -7.2233
Ba H I
8 18 2
direct
0.0340 0.5340 0.8267
0.2073 0.0340 0.5000
0.2927 0.7927 0.8267
0.4660 0.2927 0.5000
0.5340 0.7073 0.5000
0.7073 0.2073 0.1733
0.7927 0.9660 0.5000
0.9660 0.4660 0.1733
0.0000 0.5000 0.5000
0.0375 0.1105 0.1480
0.0574 0.8173 0.5000
0.1105 0.9625 0.0730
0.1827 0.6827 0.2401
0.3173 0.5574 0.5000
0.3895 0.4625 0.8520
0.4426 0.9426 0.7599
0.4625 0.6105 0.0730
0.5000 0.0000 0.5000
0.5375 0.3895 0.9270
0.5574 0.0574 0.2401
0.6105 0.5375 0.1480
0.6827 0.4426 0.5000
0.8173 0.3173 0.7599
0.8895 0.0375 0.9270
0.9426 0.1827 0.5000
0.9625 0.8895 0.8520
0.2500 0.2500 0.0000
0.7500 0.7500 0.0000
```

Results
Fermi-level density of states: 0.00 states/eV per cell
E_tot: -3.204 eV per atom
Total magnetic moment: 0.0 μB per formula unit